# CsYP2O, optimized geometry, DFT PBE-GGA
# Total moment = 0.0 μB per formula unit
# D(E_F) = 2.8 states/eV/cell
# Total energy = -3.928 eV per atom
data_CsYP2O
_cell_length_a 5.3214
_cell_length_b 5.3214
_cell_length_c 4.2990
_cell_angle_alpha 90.00
_cell_angle_beta 90.00
_cell_angle_gamma 90.00
_symmetry_space_group_name_H-M 'P 4/m m m'
_symmetry_Int_Tables_number 123
_symmetry_space_group_name_Hall '-P 4 2'
loop_
_atom_site_label
_atom_site_type_symbol
_atom_site_fract_x
_atom_site_fract_y
_atom_site_fract_z
_atom_site_occupancy
Cs1 Cs 0.0000 0.0000 0.0000 1
Y1 Y 0.5000 0.5000 0.5000 1
P1 P 0.0000 0.5000 0.0000 1
O1 O 0.0000 0.0000 0.5000 1